Record 1
# PBE-GGA K2PmSbO6, optimized geometry
# - M_tot (μB per atom) = 0.204
# - DOS(E_F) (states/eV/f.u.) = 2.75
# - formation energy without anion corrections (meV per atom) = -1797
data_K2PmSbO6
_space_group_name_H-M_alt 'F m -3 m'
_space_group_IT_number 225
_space_group_name_Hall '-F 4 2 3'
_cell_length_a 8.654
_cell_length_b 8.654
_cell_length_c 8.654
_cell_angle_alpha 90.00
_cell_angle_beta 90.00
_cell_angle_gamma 90.00
loop_
_atom_site_label
_atom_site_fract_x
_atom_site_fract_y
_atom_site_fract_z
K1 0.250 0.250 0.250
Pm1 0.000 0.000 0.000
Sb1 0.000 0.000 0.500
O1 0.000 0.000 0.269

***

Record 2
# PBE-GGA TbTeRu, optimized geometry
# - M_tot (μB per atom) = 0.000
# - DOS(E_F) (states/eV/f.u.) = 3.49
# - formation energy without anion corrections (meV per atom) = -202
data_TbTeRu
_space_group_name_H-M_alt 'A m m 2'
_space_group_IT_number 38
_cell_length_a 11.942
_cell_length_b 3.721
_cell_length_c 6.428
_cell_angle_alpha 90.00
_cell_angle_beta 90.00
_cell_angle_gamma 90.00
loop_
_space_group_symop_operation_xyz
'x,y,z'
'-x,-y,z'
'-x,y,z'
'x,-y,z'
'x,y+1/2,z+1/2'
'-x,-y+1/2,z+1/2'
'-x,y+1/2,z+1/2'
'x,-y+1/2,z+1/2'
loop_
_atom_site_label
_atom_site_fract_x
_atom_site_fract_y
_atom_site_fract_z
Tb1 0.156 0.000 0.000
Te1 0.363 0.000 0.334
Ru1 0.000 0.000 0.334
Ru2 0.500 0.000 0.000